[1]
Compound: CaPmHoRu
Source: Alexandria
Functional: PBE
Structure: optimized geometry

a b c (Å): 5.1999 5.1999 5.1999
angles (deg): 60.00 60.00 60.00
Fractional positions:
Ca1 0.0000 0.0000 0.0000
Pm1 0.7500 0.7500 0.7500
Ho1 0.2500 0.2500 0.2500
Ru1 0.5000 0.5000 0.5000

Values from the calculation:
**VASP energy**: -5.07 eV/atom
**Symmetry**: No. 216
**Mass density**: 7.5 g cm⁻³
**E_form**: 1.81 kcal/mol of atoms

***

[2]
Compound: CaPmHo2S4
Source: Alexandria
Functional: PBE
Structure: optimized geometry

a b c (Å): 6.8493 3.9317 6.8643
angles (deg): 90.00 109.10 90.00
Fractional positions:
Ca1 0.0000 0.0000 0.0000
Pm1 0.0000 0.5000 0.5000
Ho1 0.5000 0.0000 0.5000
Ho2 0.5000 0.5000 0.0000
S1 0.2589 0.5000 0.2498
S2 0.2605 0.0000 0.7577
S3 0.7395 0.0000 0.2423
S4 0.7411 0.5000 0.7502

Values from the calculation:
**VASP energy**: -6.07 eV/atom
**Symmetry**: No. 10
**Mass density**: 6.1 g cm⁻³

***

[3]
Compound: CaPm4HoS8
Source: Alexandria
Functional: PBE
Structure: optimized geometry

a b c (Å): 8.2201 8.2201 8.2201
angles (deg): 60.37 60.37 60.37
Fractional positions:
Ca1 0.0000 0.0000 0.0000
Pm1 0.1192 0.6264 0.6264
Pm2 0.2489 0.2489 0.2489
Pm3 0.6264 0.1192 0.6264
Pm4 0.6264 0.6264 0.1192
Ho1 0.6266 0.6266 0.6266
S1 0.3823 0.3823 0.3823
S2 0.3881 0.3881 0.8471
S3 0.3881 0.8471 0.3881
S4 0.4032 0.8608 0.8608
S5 0.8471 0.3881 0.3881
S6 0.8608 0.4032 0.8608
S7 0.8608 0.8608 0.4032
S8 0.8660 0.8660 0.8660

Values from the calculation:
**VASP energy**: -6.17 eV/atom
**Symmetry**: No. 160
**Mass density**: 4.4 g cm⁻³

***

[4]
Compound: CaPmHo2Sb4
Source: Alexandria
Functional: PBE
Structure: optimized geometry

a b c (Å): 7.6826 7.6826 7.6826
angles (deg): 131.81 131.81 70.52
Fractional positions:
Ca1 0.0000 0.0000 0.0000
Pm1 0.5000 0.5000 0.0000
Ho1 0.2500 0.7500 0.5000
Ho2 0.7500 0.2500 0.5000
Sb1 0.0000 0.5000 0.5000
Sb2 0.2515 0.2515 0.0000
Sb3 0.5000 0.0000 0.5000
Sb4 0.7485 0.7485 0.0000

Values from the calculation:
**VASP energy**: -5.07 eV/atom
**Symmetry**: No. 139
**Mass density**: 6.7 g cm⁻³

***

[5]
Compound: Ca4Pm3HoSe8
Source: Alexandria
Functional: PBE
Structure: optimized geometry

a b c (Å): 8.4176 8.4176 8.4176
angles (deg): 59.05 59.05 59.05
Fractional positions:
Ca1 0.0000 0.0000 0.0000
Ca2 0.0000 0.5000 0.5000
Ca3 0.5000 0.0000 0.5000
Ca4 0.5000 0.5000 0.0000
Pm1 0.0000 0.0000 0.5000
Pm2 0.0000 0.5000 0.0000
Pm3 0.5000 0.0000 0.0000
Ho1 0.5000 0.5000 0.5000
Se1 0.2517 0.2517 0.2517
Se2 0.2530 0.2530 0.7436
Se3 0.2530 0.7436 0.2530
Se4 0.2564 0.7470 0.7470
Se5 0.7436 0.2530 0.2530
Se6 0.7470 0.2564 0.7470
Se7 0.7470 0.7470 0.2564
Se8 0.7483 0.7483 0.7483

Values from the calculation:
**VASP energy**: -5.31 eV/atom
**Symmetry**: No. 166
**Mass density**: 5.6 g cm⁻³

***

[6]
Compound: CaPm2Ho3Se6
Source: Alexandria
Functional: PBE
Structure: optimized geometry

a b c (Å): 9.2386 9.2386 8.3086
angles (deg): 103.30 103.30 25.64
Fractional positions:
Ca1 0.0000 0.0000 0.0000
Pm1 0.3283 0.3283 0.6577
Pm2 0.6717 0.6717 0.3423
Ho1 0.0000 0.0000 0.5000
Ho2 0.3307 0.3307 0.1709
Ho3 0.6693 0.6693 0.8291
Se1 0.1611 0.1611 0.5901
Se2 0.1665 0.1665 0.0741
Se3 0.4982 0.4982 0.2522
Se4 0.5018 0.5018 0.7478
Se5 0.8335 0.8335 0.9259
Se6 0.8389 0.8389 0.4099

Values from the calculation:
**VASP energy**: -5.66 eV/atom
**Symmetry**: No. 12
**Mass density**: 7.2 g cm⁻³

***

[7]
Compound: Ca2PmHoSe4
Source: Alexandria
Functional: PBE
Structure: optimized geometry

a b c (Å): 7.1625 4.1318 7.2857
angles (deg): 90.00 109.10 90.00
Fractional positions:
Ca1 0.0000 0.0000 0.0000
Ca2 0.5000 0.5000 0.0000
Pm1 0.0000 0.5000 0.5000
Ho1 0.5000 0.0000 0.5000
Se1 0.2568 0.0000 0.7514
Se2 0.2570 0.5000 0.2533
Se3 0.7432 0.0000 0.2486
Se4 0.7430 0.5000 0.7467

Values from the calculation:
**VASP energy**: -5.29 eV/atom
**Symmetry**: No. 10
**Mass density**: 5.8 g cm⁻³

***

[8]
Compound: CaPm2HoSe4
Source: Alexandria
Functional: PBE
Structure: optimized geometry

a b c (Å): 7.1715 4.1260 7.2595
angles (deg): 90.00 108.98 90.00
Fractional positions:
Ca1 0.0000 0.0000 0.0000
Pm1 0.0000 0.5000 0.5000
Pm2 0.5000 0.0000 0.5000
Ho1 0.5000 0.5000 0.0000
Se1 0.2499 0.5000 0.2409
Se2 0.2555 0.0000 0.7617
Se3 0.7445 0.0000 0.2383
Se4 0.7501 0.5000 0.7591

Values from the calculation:
**VASP energy**: -5.59 eV/atom
**Symmetry**: No. 10
**Mass density**: 6.6 g cm⁻³

***

[9]
Compound: CaPm4HoSe8
Source: Alexandria
Functional: PBE
Structure: optimized geometry

a b c (Å): 8.5827 8.5827 8.5827
angles (deg): 60.33 60.33 60.33
Fractional positions:
Ca1 0.0000 0.0000 0.0000
Pm1 0.1183 0.6264 0.6264
Pm2 0.2485 0.2485 0.2485
Pm3 0.6264 0.1183 0.6264
Pm4 0.6264 0.6264 0.1183
Ho1 0.6266 0.6266 0.6266
Se1 0.3819 0.3819 0.3819
Se2 0.3878 0.3878 0.8471
Se3 0.3878 0.8471 0.3878
Se4 0.4017 0.8611 0.8611
Se5 0.8471 0.3878 0.3878
Se6 0.8611 0.4017 0.8611
Se7 0.8611 0.8611 0.4017
Se8 0.8663 0.8663 0.8663

Values from the calculation:
**VASP energy**: -5.62 eV/atom
**Symmetry**: No. 160
**Mass density**: 5.2 g cm⁻³

***

[10]
Compound: CaPm3Ho2Se6
Source: Alexandria
Functional: PBE
Structure: optimized geometry

a b c (Å): 7.1258 7.1258 7.2716
angles (deg): 99.35 99.35 120.03
Fractional positions:
Ca1 0.0000 0.0000 0.0000
Pm1 0.1639 0.8361 0.5000
Pm2 0.5000 0.5000 0.5000
Pm3 0.8361 0.1639 0.5000
Ho1 0.3330 0.6670 0.0000
Ho2 0.6670 0.3330 0.0000
Se1 0.0797 0.4156 0.2396
Se2 0.2571 0.2571 0.7649
Se3 0.4156 0.0797 0.2396
Se4 0.5844 0.9203 0.7604
Se5 0.7429 0.7429 0.2351
Se6 0.9203 0.5844 0.7604

Values from the calculation:
**VASP energy**: -5.68 eV/atom
**Symmetry**: No. 12
**Mass density**: 7.0 g cm⁻³

***

[11]
Compound: CaPmSmHo
Source: Alexandria
Functional: PBE
Structure: optimized geometry

a b c (Å): 5.8066 5.8066 5.8066
angles (deg): 60.00 60.00 60.00
Fractional positions:
Ca1 0.0000 0.0000 0.0000
Pm1 0.2500 0.2500 0.2500
Sm1 0.7500 0.7500 0.7500
Ho1 0.5000 0.5000 0.5000

Values from the calculation:
**VASP energy**: -3.88 eV/atom
**Symmetry**: No. 216
**Mass density**: 6.0 g cm⁻³
**E_form**: 3.05 kcal/mol of atoms